Computed, not measured: a relaxed Nd12Si3H5 crystal at the GGA-PBE level of DFT.

a = 13.6235 Å, b = 13.6235 Å, c = 13.6235 Å
α = 109.47°, β = 109.47°, γ = 109.47°
With the nearest neighbours (Å) after each atom.
Sites, in units of the cell vectors:
Nd 0.0255 0.2143 0.1174  1 H 2.29
Nd 0.0255 0.3112 0.9081  1 H 2.29
Nd 0.0919 0.6174 0.4031  1 H 2.29
Nd 0.0919 0.9745 0.6888  1 H 2.29
Nd 0.0969 0.7143 0.6888  1 H 2.29
Nd 0.0969 0.8826 0.4081  1 H 2.29
Nd 0.1174 0.0255 0.2143  1 H 2.29
Nd 0.1174 0.5919 0.9031  1 H 2.29
Nd 0.1888 0.2143 0.5969  1 H 2.29
Nd 0.1888 0.4745 0.5919  1 H 2.29
Nd 0.2143 0.1174 0.0255  1 H 2.29
Nd 0.2143 0.5969 0.1888  1 H 2.29
Nd 0.2857 0.3112 0.9031  1 H 2.29
Nd 0.2857 0.4745 0.3826  1 H 2.29
Nd 0.3112 0.9031 0.2857  1 H 2.29
Nd 0.3112 0.9081 0.0255  1 H 2.29
Nd 0.3826 0.2857 0.4745  1 H 2.29
Nd 0.3826 0.5969 0.9081  1 H 2.29
Nd 0.4031 0.0919 0.6174  1 H 2.29
Nd 0.4031 0.8112 0.7857  1 H 2.29
Nd 0.4081 0.0969 0.8826  1 H 2.29
Nd 0.4081 0.8112 0.5255  1 H 2.29
Nd 0.4745 0.3826 0.2857  1 H 2.29
Nd 0.4745 0.5919 0.1888  1 H 2.29
Nd 0.5255 0.4081 0.8112  1 H 2.29
Nd 0.5255 0.6174 0.7143  1 H 2.29
Nd 0.5919 0.1888 0.4745  1 H 2.29
Nd 0.5919 0.9031 0.1174  1 H 2.29
Nd 0.5969 0.1888 0.2143  1 H 2.29
Nd 0.5969 0.9081 0.3826  1 H 2.29
Nd 0.6174 0.4031 0.0919  1 H 2.29
Nd 0.6174 0.7143 0.5255  1 H 2.29
Nd 0.6888 0.0919 0.9745  1 H 2.29
Nd 0.6888 0.0969 0.7143  1 H 2.29
Nd 0.7143 0.5255 0.6174  1 H 2.29
Nd 0.7143 0.6888 0.0969  1 H 2.29
Nd 0.7857 0.4031 0.8112  1 H 2.29
Nd 0.7857 0.8826 0.9745  1 H 2.29
Nd 0.8112 0.5255 0.4081  1 H 2.29
Nd 0.8112 0.7857 0.4031  1 H 2.29
Nd 0.8826 0.4081 0.0969  1 H 2.29
Nd 0.8826 0.9745 0.7857  1 H 2.29
Nd 0.9031 0.1174 0.5919  1 H 2.29
Nd 0.9031 0.2857 0.3112  1 H 2.29
Nd 0.9081 0.0255 0.3112  1 H 2.29
Nd 0.9081 0.3826 0.5969  1 H 2.29
Nd 0.9745 0.6888 0.0919  1 H 2.29
Nd 0.9745 0.7857 0.8826  1 H 2.29
Si 0.1250 0.2500 0.3750  8 Nd 3.06-3.10
Si 0.1250 0.3750 0.7500  8 Nd 3.06-3.10
Si 0.2500 0.3750 0.1250  8 Nd 3.06-3.10
Si 0.2500 0.8750 0.6250  8 Nd 3.06-3.10
Si 0.3750 0.1250 0.2500  8 Nd 3.06-3.10
Si 0.3750 0.7500 0.1250  8 Nd 3.06-3.10
Si 0.6250 0.2500 0.8750  8 Nd 3.06-3.10
Si 0.6250 0.8750 0.7500  8 Nd 3.06-3.10
Si 0.7500 0.1250 0.3750  8 Nd 3.06-3.10
Si 0.7500 0.6250 0.8750  8 Nd 3.06-3.10
Si 0.8750 0.6250 0.2500  8 Nd 3.06-3.10
Si 0.8750 0.7500 0.6250  8 Nd 3.06-3.10
H 0.0000 0.0000 0.0000  6 Nd 2.65
H 0.0000 0.0000 0.5000  6 Nd 2.65
H 0.0000 0.5000 0.0000  6 Nd 2.65
H 0.0000 0.5000 0.5000  6 Nd 2.65
H 0.1250 0.7500 0.8750  4 Nd 2.29
H 0.1250 0.8750 0.2500  4 Nd 2.29
H 0.2500 0.1250 0.8750  4 Nd 2.29
H 0.2500 0.6250 0.3750  4 Nd 2.29
H 0.3750 0.2500 0.6250  4 Nd 2.29
H 0.3750 0.6250 0.7500  4 Nd 2.29
H 0.5000 0.0000 0.0000  6 Nd 2.65
H 0.5000 0.0000 0.5000  6 Nd 2.65
H 0.5000 0.5000 0.0000  6 Nd 2.65
H 0.5000 0.5000 0.5000  6 Nd 2.65
H 0.6250 0.3750 0.2500  4 Nd 2.29
H 0.6250 0.7500 0.3750  4 Nd 2.29
H 0.7500 0.3750 0.6250  4 Nd 2.29
H 0.7500 0.8750 0.1250  4 Nd 2.29
H 0.8750 0.1250 0.7500  4 Nd 2.29
H 0.8750 0.2500 0.1250  4 Nd 2.29

Values from the calculation:
- raw total energy (eV per atom) = -4.845
- SG = Ia-3d


Computed, not measured: a relaxed NdSi2H8 crystal at the GGA-PBE level of DFT.

a = 5.5192 Å, b = 5.5192 Å, c = 4.2121 Å
α = 96.20°, β = 96.20°, γ = 86.59°
With the nearest neighbours (Å) after each atom.
Sites, in units of the cell vectors:
Nd 0.0000 0.0000 0.0000  6 H 2.27-2.42
Si 0.2624 0.2624 0.6297  4 H 1.49-1.58
Si 0.7376 0.7376 0.3703  4 H 1.49-1.58
H 0.0163 0.3760 0.7561  1 Si 1.58
H 0.2675 0.2675 0.2617  1 Si 1.56
H 0.3760 0.0163 0.7561  1 Si 1.58
H 0.4470 0.4470 0.7437  1 Si 1.49
H 0.5530 0.5530 0.2563  1 Si 1.49
H 0.6240 0.9837 0.2439  1 Si 1.58
H 0.7325 0.7325 0.7383  1 Si 1.56
H 0.9837 0.6240 0.2439  1 Si 1.58

Values from the calculation:
- raw total energy (eV per atom) = -3.713
- SG = C2/m


Computed, not measured: a relaxed Nd3SiH crystal at the GGA-PBE level of DFT.

a = 4.8395 Å, b = 4.8395 Å, c = 4.8395 Å
α = 90.00°, β = 90.00°, γ = 90.00°
With the nearest neighbours (Å) after each atom.
Sites, in units of the cell vectors:
Nd 0.0000 0.0000 0.5000  2 H 2.42
Nd 0.0000 0.5000 0.0000  2 H 2.42
Nd 0.5000 0.0000 0.0000  2 H 2.42
Si 0.5000 0.5000 0.5000  12 Nd 3.42
H 0.0000 0.0000 0.0000  6 Nd 2.42

Values from the calculation:
- distance to the lowest polymorph of the same formula (meV per atom) = 11
- SG = Pm-3m


Computed, not measured: a relaxed Nd3SiH crystal at the GGA-PBE level of DFT.

a = 8.2184 Å, b = 6.3445 Å, c = 10.5614 Å
α = 90.00°, β = 121.47°, γ = 90.00°
With the nearest neighbours (Å) after each atom.
Sites, in units of the cell vectors:
Nd 0.0679 0.0234 0.3689  2 H 2.38-2.43
Nd 0.0679 0.4766 0.8689  2 H 2.38-2.43
Nd 0.2004 0.5409 0.5032  2 H 2.39-2.50
Nd 0.2004 0.9591 0.0032  2 H 2.39-2.50
Nd 0.4028 0.2307 0.3201  1 H 2.59
Nd 0.4028 0.2693 0.8201  1 H 2.59
Nd 0.5972 0.7307 0.1799  1 H 2.59
Nd 0.5972 0.7693 0.6799  1 H 2.59
Nd 0.7996 0.0409 0.9968  2 H 2.39-2.50
Nd 0.7996 0.4591 0.4968  2 H 2.39-2.50
Nd 0.9321 0.5234 0.1311  2 H 2.38-2.43
Nd 0.9321 0.9766 0.6311  2 H 2.38-2.43
Si 0.3521 0.7355 0.3214  8 Nd 3.04-3.24
Si 0.3521 0.7645 0.8214  8 Nd 3.04-3.24
Si 0.6479 0.2355 0.1786  8 Nd 3.04-3.24
Si 0.6479 0.2645 0.6786  8 Nd 3.04-3.24
H 0.0854 0.2373 0.5667  5 Nd 2.38-2.59
H 0.0854 0.2627 0.0667  5 Nd 2.38-2.59
H 0.9146 0.7373 0.9333  5 Nd 2.38-2.59
H 0.9146 0.7627 0.4333  5 Nd 2.38-2.59

Values from the calculation:
- distance to the lowest polymorph of the same formula (meV per atom) = 0
- SG = P2_1/c


Computed, not measured: a relaxed Nd6Si2H crystal at the GGA-PBE level of DFT.

a = 6.4240 Å, b = 7.8840 Å, c = 11.4070 Å
α = 90.00°, β = 123.97°, γ = 90.00°
With the nearest neighbours (Å) after each atom.
Sites, in units of the cell vectors:
Nd 0.0732 0.1948 0.4459  1 H 2.59
Nd 0.0732 0.3052 0.9459  1 H 2.59
Nd 0.3172 0.6801 0.4464  1 H 2.82, 2 Si 3.05-3.09
Nd 0.3172 0.8199 0.9464  1 H 2.82, 2 Si 3.05-3.09
Nd 0.3847 0.0312 0.2548  1 H 2.57
Nd 0.3847 0.4688 0.7548  1 H 2.57
Nd 0.6153 0.5312 0.2452  1 H 2.57
Nd 0.6153 0.9688 0.7452  1 H 2.57
Nd 0.6828 0.1801 0.0536  1 H 2.82, 2 Si 3.05-3.09
Nd 0.6828 0.3199 0.5536  1 H 2.82, 2 Si 3.05-3.09
Nd 0.9268 0.6948 0.0541  1 H 2.59
Nd 0.9268 0.8052 0.5541  1 H 2.59
Si 0.1732 0.1188 0.7458  8 Nd 3.05-3.23
Si 0.1732 0.3812 0.2458  8 Nd 3.05-3.23
Si 0.8268 0.6188 0.7542  8 Nd 3.05-3.23
Si 0.8268 0.8812 0.2542  8 Nd 3.05-3.23
H 0.0000 0.0000 0.0000  6 Nd 2.57-2.82
H 0.0000 0.5000 0.5000  6 Nd 2.57-2.82

Values from the calculation:
- raw total energy (eV per atom) = -5.156
- SG = P2_1/c


Computed, not measured: a relaxed NdSiH crystal at the GGA-PBE level of DFT.

a = 6.7568 Å, b = 3.9848 Å, c = 8.4472 Å
α = 90.00°, β = 108.18°, γ = 90.00°
With the nearest neighbours (Å) after each atom.
Sites, in units of the cell vectors:
Nd 0.1953 0.2500 0.1432  4 H 2.20-2.37
Nd 0.2713 0.7500 0.5602  3 H 2.41-2.45
Nd 0.7287 0.2500 0.4398  3 H 2.41-2.45
Nd 0.8047 0.7500 0.8568  4 H 2.20-2.37
Si 0.0906 0.2500 0.7459  1 Si 2.39
Si 0.4535 0.2500 0.8976  3 Si 2.39-2.58, 1 H 2.64
Si 0.5465 0.7500 0.1024  3 Si 2.39-2.58, 1 H 2.64
Si 0.9094 0.7500 0.2541  1 Si 2.39
H 0.1359 0.7500 0.0080  3 Nd 2.20-2.27
H 0.3702 0.2500 0.4342  4 Nd 2.37-2.45
H 0.6298 0.7500 0.5658  4 Nd 2.37-2.45
H 0.8641 0.2500 0.9920  3 Nd 2.20-2.27

Values from the calculation:
- distance to the lowest polymorph of the same formula (meV per atom) = 247
- SG = P2_1/m


Computed, not measured: a relaxed Nd6Si3H crystal at the GGA-PBE level of DFT.

a = 6.3757 Å, b = 8.1605 Å, c = 11.8488 Å
α = 90.00°, β = 122.21°, γ = 90.00°
With the nearest neighbours (Å) after each atom.
Sites, in units of the cell vectors:
Nd 0.0700 0.1819 0.4401  1 H 2.79, 2 Si 2.85-3.12
Nd 0.0700 0.3182 0.9401  1 H 2.79, 2 Si 2.85-3.12
Nd 0.2970 0.6713 0.4419  1 H 2.72, 1 Si 2.90
Nd 0.2970 0.8287 0.9419  1 H 2.72, 1 Si 2.90
Nd 0.3679 0.0401 0.2331  1 H 2.52
Nd 0.3679 0.4599 0.7331  1 H 2.52
Nd 0.6321 0.5401 0.2669  1 H 2.52
Nd 0.6321 0.9599 0.7669  1 H 2.52
Nd 0.7030 0.1713 0.0581  1 H 2.72, 1 Si 2.90
Nd 0.7030 0.3287 0.5581  1 H 2.72, 1 Si 2.90
Nd 0.9300 0.6818 0.0599  1 H 2.79, 2 Si 2.85-3.12
Nd 0.9300 0.8182 0.5599  1 H 2.79, 2 Si 2.85-3.12
Si 0.1744 0.1188 0.7484  8 Nd 3.09-3.44
Si 0.1744 0.3812 0.2484  8 Nd 3.09-3.44
Si 0.5000 0.0000 0.5000  6 Nd 2.82-2.90
Si 0.5000 0.5000 0.0000  6 Nd 2.82-2.90
Si 0.8256 0.6188 0.7516  8 Nd 3.09-3.44
Si 0.8256 0.8812 0.2516  8 Nd 3.09-3.44
H 0.0000 0.0000 0.0000  6 Nd 2.52-2.79
H 0.0000 0.5000 0.5000  6 Nd 2.52-2.79

Values from the calculation:
- raw total energy (eV per atom) = -5.269
- SG = P2_1/c


Computed, not measured: a relaxed NdSiH crystal at the GGA-PBE level of DFT.

a = 4.1720 Å, b = 12.1287 Å, c = 3.9520 Å
α = 90.00°, β = 90.00°, γ = 90.00°
With the nearest neighbours (Å) after each atom.
Sites, in units of the cell vectors:
Nd 0.0000 0.1457 0.2500  4 H 2.38-2.41
Nd 0.0000 0.8543 0.7500  4 H 2.38-2.41
Nd 0.5000 0.3543 0.7500  4 H 2.38-2.41
Nd 0.5000 0.6457 0.2500  4 H 2.38-2.41
Si 0.0000 0.4437 0.2500  2 Si 2.40
Si 0.0000 0.5563 0.7500  2 Si 2.40
Si 0.5000 0.0563 0.7500  2 Si 2.40
Si 0.5000 0.9437 0.2500  2 Si 2.40
H 0.0000 0.2555 0.7500  4 Nd 2.38-2.41
H 0.0000 0.7445 0.2500  4 Nd 2.38-2.41
H 0.5000 0.2445 0.2500  4 Nd 2.38-2.41
H 0.5000 0.7555 0.7500  4 Nd 2.38-2.41

Values from the calculation:
- distance to the lowest polymorph of the same formula (meV per atom) = 0
- SG = Cmcm


Computed, not measured: a relaxed Nd2SiH crystal at the GGA-PBE level of DFT.

a = 6.3000 Å, b = 6.3000 Å, c = 8.3350 Å
α = 90.00°, β = 90.00°, γ = 120.00°
With the nearest neighbours (Å) after each atom.
Sites, in units of the cell vectors:
Nd 0.1051 0.3933 0.3790  2 H 2.25-2.29
Nd 0.2882 0.8949 0.0457  2 H 2.25-2.29
Nd 0.3933 0.1051 0.6210  2 H 2.25-2.29
Nd 0.6067 0.7118 0.7123  2 H 2.25-2.29
Nd 0.7118 0.6067 0.2877  2 H 2.25-2.29
Nd 0.8949 0.2882 0.9543  2 H 2.25-2.29
Si 0.0000 0.5937 0.6667  4 Nd 2.94-2.95
Si 0.4063 0.4063 0.0000  4 Nd 2.94-2.95
Si 0.5937 0.0000 0.3333  4 Nd 2.94-2.95
H 0.0000 0.5515 0.1667  4 Nd 2.25-2.29
H 0.4485 0.4485 0.5000  4 Nd 2.25-2.29
H 0.5515 0.0000 0.8333  4 Nd 2.25-2.29

Values from the calculation:
- distance to the lowest polymorph of the same formula (meV per atom) = 0
- SG = P3_121


Table of total magnetic moment (Bohr magnetons per cell), in record order: 0.000, 0.000, 0.000, 0.000, 0.000, 0.000, 0.004, 0.000, 0.000